This record from Alexandria describes K3MoF7 after structural relaxation. The functional is PBE with a Hubbard U.

space group	Cm
D(E_F)	0.0000	states/eV per atom
crystal system	monoclinic
total energy	-0.3600	Ry/atom

Cell lengths 6.174, 6.174, 6.572 Å; angles 116.34, 116.34, 88.94 degrees
Fractional positions:
K1 0.000 0.000 0.000
K2 0.261 0.729 0.544
K3 0.729 0.261 0.544
Mo1 0.536 0.536 0.090
F1 0.200 0.485 0.785
F2 0.372 0.372 0.217
F3 0.380 0.830 0.225
F4 0.485 0.200 0.785
F5 0.687 0.687 0.944
F6 0.806 0.806 0.468
F7 0.830 0.380 0.225